Record 1
The following is a DFT calculation (PBE-GGA) of crystalline ZnCu2Te at its relaxed geometry.

Properties
The energy comes out at -2.950 eV per atom. As for the symmetry: C2/m (12). As for the formation energy without anion corrections: 0.202 eV/atom. The energy above the most stable polymorph in this dataset is 0.117 eV per atom.

Structure (extended XYZ):
```
4
Lattice="2.856 -3.027 0.000 2.856 3.027 0.000 -0.512 0.000 3.915" Properties=species:S:1:pos:R:3 pbc="T T T"
Zn 0.000 0.000 0.000
Cu 1.172 1.514 1.958
Cu 1.172 -1.514 1.958
Te 2.856 0.000 0.000
```

Record 2
The following is a DFT calculation (PBE-GGA) of crystalline BaTcIr3 at its relaxed geometry.

Properties
The energy comes out at -4.378 eV per atom. As for the symmetry: Pm-3m (221). The energy above the most stable polymorph in this dataset is 2.608 eV per atom. For the energy of formation from the pure elements, the calculation gives 16.982 eV per formula unit.

Structure (extended XYZ):
```
5
Lattice="4.991 0.000 0.000 0.000 4.991 0.000 0.000 0.000 4.991" Properties=species:S:1:pos:R:3 pbc="T T T"
Ba 0.000 0.000 0.000
Tc 2.495 2.495 2.495
Ir 0.000 0.000 2.495
Ir 0.000 2.495 0.000
Ir 2.495 0.000 0.000
```

Record 3
The following is a DFT calculation (PBE-GGA) of crystalline LaPaHO5 at its relaxed geometry.

Properties
The energy comes out at -7.978 eV per atom. As for the symmetry: C2/c (15).

Structure (extended XYZ):
```
16
Lattice="4.010 -4.961 0.000 4.010 4.961 0.000 -2.832 0.000 6.961" Properties=species:S:1:pos:R:3 pbc="T T T"
La 1.886 4.423 5.220
La 3.302 -4.423 1.740
Pa 2.005 2.481 0.000
Pa 0.589 -2.481 3.480
H 1.886 1.854 5.220
H 3.302 -1.854 1.740
O 1.400 0.467 0.308
O 0.882 2.166 5.783
O 3.302 2.858 1.740
O -0.016 -0.467 3.789
O 2.891 2.166 4.658
O 2.297 -2.166 2.302
O 5.203 0.467 3.172
O 1.886 -2.858 5.220
O 4.306 -2.166 1.178
O 3.788 -0.467 6.652
```

Record 4
The following is a DFT calculation (PBE-GGA) of crystalline TcWAu2 at its relaxed geometry.

Properties
The energy comes out at -7.113 eV per atom. As for the symmetry: Cm (8). The energy above the most stable polymorph in this dataset is 0.100 eV per atom. For the energy of formation from the pure elements, the calculation gives 1.422 eV per formula unit.

Structure (extended XYZ):
```
4
Lattice="4.729 -1.364 0.000 4.729 1.364 0.000 -0.639 0.000 5.100" Properties=species:S:1:pos:R:3 pbc="T T T"
Tc 0.000 0.000 0.000
W 1.798 0.000 4.006
Au 4.376 0.000 2.633
Au 6.863 0.000 1.398
```